Here is a relaxed ScNbTc3 crystal from Alexandria. Energies are from GGA-PBEsol.

Properties
* density: 7.1 g/cm3
* energy of formation: 1358 meV/atom
* E: -8.89 eV/atom

Lattice parameters (Å, degrees): 4.655 4.655 4.655 90.00 90.00 90.00
Sites, in units of the cell vectors:
Sc  0.000  0.000  0.000
Nb  0.500  0.500  0.500
Tc  0.000  0.500  0.500
Tc  0.500  0.000  0.500
Tc  0.500  0.500  0.000

***

Here is a relaxed Sc2Nb2Te crystal from Alexandria. Energies are from GGA-PBEsol.

Properties
* density: 6.2 g/cm3
* E: -7.04 eV/atom

Lattice parameters (Å, degrees): 7.563 7.563 7.563 150.05 150.05 42.87
Sites, in units of the cell vectors:
Sc  0.250  0.750  0.500
Sc  0.750  0.250  0.500
Nb  0.091  0.091  0.000
Nb  0.909  0.909  0.000
Te  0.500  0.500  0.000

***

Here is a relaxed ScNbTl3 crystal from Alexandria. Energies are from GGA-PBEsol.

Properties
* density: 8.4 g/cm3
* energy of formation: 703 meV/atom
* E: -4.36 eV/atom

Lattice parameters (Å, degrees): 5.303 5.303 5.303 90.00 90.00 90.00
Sites, in units of the cell vectors:
Sc  0.000  0.000  0.000
Nb  0.500  0.500  0.500
Tl  0.000  0.500  0.500
Tl  0.500  0.000  0.500
Tl  0.500  0.500  0.000

***

Here is a relaxed Sc3NbTl crystal from Alexandria. Energies are from GGA-PBEsol.

Properties
* density: 5.6 g/cm3
* energy of formation: 549 meV/atom
* E: -6.10 eV/atom

Lattice parameters (Å, degrees): 5.030 5.030 5.030 90.00 90.00 90.00
Sites, in units of the cell vectors:
Sc  0.000  0.000  0.500
Sc  0.000  0.500  0.000
Sc  0.500  0.000  0.000
Nb  0.000  0.000  0.000
Tl  0.500  0.500  0.500

***

Here is a relaxed Sc2Nb2W crystal from Alexandria. Energies are from GGA-PBEsol.

Properties
* density: 7.7 g/cm3
* energy of formation: 885 meV/atom
* E: -8.85 eV/atom

Lattice parameters (Å, degrees): 7.573 7.573 7.573 151.43 151.43 40.85
Sites, in units of the cell vectors:
Sc  0.091  0.091  0.000
Sc  0.909  0.909  0.000
Nb  0.250  0.750  0.500
Nb  0.750  0.250  0.500
W  0.500  0.500  0.000

***

Here is a relaxed Sc3NbW crystal from Alexandria. Energies are from GGA-PBEsol.

Properties
* density: 5.7 g/cm3
* energy of formation: 1099 meV/atom
* E: -7.79 eV/atom

Lattice parameters (Å, degrees): 4.924 4.924 4.924 90.00 90.00 90.00
Sites, in units of the cell vectors:
Sc  0.000  0.000  0.500
Sc  0.000  0.500  0.000
Sc  0.500  0.000  0.000
Nb  0.500  0.500  0.500
W  0.000  0.000  0.000

***

Here is a relaxed YSc2Nb crystal from Alexandria. Energies are from GGA-PBEsol.

Properties
* density: 4.9 g/cm3
* energy of formation: 459 meV/atom
* E: -7.25 eV/atom

Lattice parameters (Å, degrees): 11.106 11.106 11.106 16.13 16.13 16.13
Sites, in units of the cell vectors:
Y  0.000  0.000  0.000
Sc  0.418  0.418  0.418
Sc  0.582  0.582  0.582
Nb  0.500  0.500  0.500

***

Here is a relaxed NbSe2 crystal from Alexandria. Energies are from GGA-PBEsol.

Properties
* density: 5.9 g/cm3
* E: -7.02 eV/atom

Lattice parameters (Å, degrees): 3.422 3.422 6.911 90.00 90.00 120.00
Sites, in units of the cell vectors:
Nb  0.000  0.000  0.000
Se  0.667  0.333  0.243
Se  0.667  0.333  0.757